i.
A relaxed NdAsH crystal. Source: the Alexandria database, functional PBE.

It has space group I2_12_12_1 (No. 24), with a = 4.576 Å, b = 6.155 Å, c = 8.018 Å, α = 90.00°, β = 90.00° and γ = 90.00°. Symmetry generates all atoms from Nd at (0.250, 0.009, 0.000), As at (0.249, 0.500, 0.750) and H at (0.000, 0.250, 0.384).


ii.
A relaxed NdAsH crystal. Source: the Alexandria database, functional PBE.

It has space group I4mm (No. 107), with a = 4.121 Å, b = 4.121 Å, c = 7.266 Å, α = 90.00°, β = 90.00° and γ = 90.00°. Symmetry generates all atoms from Nd at (0.000, 0.000, 0.000), As at (0.000, 0.000, 0.594) and H at (0.000, 0.000, 0.345).


Energy comparison, zero being the most stable, in meV per atom: i 0; ii 51.


i.
A relaxed NdAsH crystal. Source: the Alexandria database, functional PBE.

It has space group P-6m2 (No. 187), with a = 3.8687 Å, b = 3.8687 Å, c = 4.3799 Å, α = 90.00°, β = 90.00° and γ = 120.00°. Symmetry generates all atoms from Nd at (0.0000, 0.0000, 0.0000), As at (0.6667, 0.3333, 0.5000) and H at (0.3333, 0.6667, 0.0000).


ii.
A relaxed NdAsH crystal. Source: the Alexandria database, functional PBE.

It has space group P-1 (No. 2), with a = 4.183 Å, b = 5.736 Å, c = 6.036 Å, α = 64.44°, β = 69.76° and γ = 68.77°. Symmetry generates all atoms from Nd at (0.213, 0.316, 0.258), As at (0.482, 0.718, 0.322) and H at (0.197, 0.694, 0.915).


Energy comparison, zero being the most stable, in meV per atom: i 98; ii 0.